Record 1
TmUFe after structural relaxation. Source: OQMD via LeMat-Bulk, functional PBE.

* magnetization: 9.33 Bohr magnetons per cell
* raw total energy: -7.5993 eV/atom
* ΔE to the lowest computed polymorph: 0 meV per atom

abc: 6.4106 6.4106 6.4106
angles: 90.00 90.00 90.00
Last column: nearest neighbours and their distance in Å.
Space group F-43m (No. 216)
Asymmetric unit:
Tm: 0.0000 0.0000 0.0000  4 Fe 2.78
U: 0.0000 0.0000 0.5000  4 Fe 2.78
Fe: 0.2500 0.2500 0.7500  4 U 2.78, 4 Tm 2.78



Record 2
ZnAsPb2 after structural relaxation. Source: OQMD via LeMat-Bulk, functional PBE.

* raw total energy: -3.0802 eV/atom

abc: 7.4035 7.4035 7.4035
angles: 90.00 90.00 90.00
Last column: nearest neighbours and their distance in Å.
Space group F-43m (No. 216)
Asymmetric unit:
Zn: 0.0000 0.0000 0.0000  4 As 3.21, 4 Pb 3.21
As: 0.2500 0.2500 0.7500  4 Pb 3.21, 4 Zn 3.21
Pb: 0.0000 0.0000 0.5000  4 Pb 3.21, 4 As 3.21
Pb: 0.2500 0.2500 0.2500  4 Zn 3.21, 4 Pb 3.21